The following is a GGA-PBE calculation of a relaxed structure of CaPmF6, from Alexandria via LeMat-Bulk.

Values from the calculation:
- Final energy: -5.6317 eV per atom
- Raw formation energy: -3384.2 meV per atom
- D(E_F): 2.09 states/eV/f.u.

The structure in CIF format:
```
data_CaPmF6
_chemical_formula_sum 'Ca2 Pm2 F12'
_symmetry_space_group_name_H-M 'C 1 2/m 1'
_symmetry_Int_Tables_number 12
_cell_length_a 6.814
_cell_length_b 4.529
_cell_length_c 7.497
_cell_angle_alpha 90.00
_cell_angle_beta 110.39
_cell_angle_gamma 90.00
loop_
_symmetry_equiv_pos_as_xyz
'x,y,z'
'-x,-y,-z'
'-x,y,-z'
'x,-y,z'
'x+1/2,y+1/2,z'
'-x+1/2,-y+1/2,-z'
'-x+1/2,y+1/2,-z'
'x+1/2,-y+1/2,z'
loop_
_atom_site_label
_atom_site_type_symbol
_atom_site_fract_x
_atom_site_fract_y
_atom_site_fract_z
Ca1 Ca 0.000 0.000 0.000
Pm1 Pm 0.000 0.500 0.500
F1 F 0.152 0.000 0.449
F2 F 0.169 0.256 0.814
```